# 1
Below is a geometry-optimized SiPRh structure, with properties calculated at the PBE level.

## Properties
Uncorrected formation energy, eV/atom: -0.18
DOS at the Fermi energy, states/eV per cell: 1.93
Raw total energy, eV per atom: -6.241
Theoretical density, Mg/m³: 6.325
Total magnetic moment, μB/atom: 0.0000

Cell: 5.057 3.106 5.901 Å, 90.00 113.44 90.00°
Atoms (fractional coordinates):
Si 0.000 0.000 0.000
Si 0.500 0.500 0.000
P 0.194 0.500 0.346
P 0.694 0.000 0.346
Rh 0.015 0.500 0.666
Rh 0.515 0.000 0.666

***

# 2
Below is a geometry-optimized PuCoNi4 structure, with properties calculated at the PBE level.

## Properties
Formation energy from the elements, meV/atom: 22.2
DOS at the Fermi energy, states/eV per cell: 21.37
Raw total energy, eV per atom: -7.405
Theoretical density, Mg/m³: 11.176
Total magnetic moment, μB/atom: 0.9300

Cell: 4.834 4.834 4.834 Å, 60.00 60.00 60.00°
Atoms (fractional coordinates):
Pu 0.000 0.000 0.000
Co 0.250 0.250 0.250
Ni 0.129 0.624 0.624
Ni 0.624 0.129 0.624
Ni 0.624 0.624 0.129
Ni 0.624 0.624 0.624

***

# 3
Below is a geometry-optimized CaBi6 structure, with properties calculated at the PBE level.

## Properties
Formation energy from the elements, meV/atom: 276.6
DOS at the Fermi energy, states/eV per cell: 10.30
Raw total energy, eV per atom: -3.336
Theoretical density, Mg/m³: 6.285
Total magnetic moment, μB/atom: 0.0000

Cell: 8.810 8.810 8.810 Å, 90.00 90.00 90.00°
Atoms (fractional coordinates):
Ca 0.000 0.000 0.000
Ca 0.500 0.500 0.500
Bi 0.000 0.250 0.500
Bi 0.000 0.500 0.250
Bi 0.000 0.500 0.750
Bi 0.000 0.750 0.500
Bi 0.250 0.000 0.500
Bi 0.250 0.500 0.000
Bi 0.500 0.000 0.250
Bi 0.500 0.000 0.750
Bi 0.500 0.250 0.000
Bi 0.500 0.750 0.000
Bi 0.750 0.000 0.500
Bi 0.750 0.500 0.000

***

# 4
Below is a geometry-optimized PmTl3Ge2Te6 structure, with properties calculated at the PBE level.

## Properties
Uncorrected formation energy, eV/atom: -0.40
DOS at the Fermi energy, states/eV per cell: 11.80
Raw total energy, eV per atom: -3.728
Theoretical density, Mg/m³: 7.072
Total magnetic moment, μB/atom: 0.0000

Cell: 7.764 7.764 7.948 Å, 99.38 99.38 120.10°
Atoms (fractional coordinates):
Pm 0.000 0.000 0.000
Tl 0.158 0.842 0.500
Tl 0.500 0.500 0.500
Tl 0.842 0.158 0.500
Ge 0.328 0.672 0.000
Ge 0.672 0.328 0.000
Te 0.073 0.419 0.218
Te 0.276 0.276 0.787
Te 0.419 0.073 0.218
Te 0.581 0.927 0.782
Te 0.724 0.724 0.213
Te 0.927 0.581 0.782

***

# 5
Below is a geometry-optimized YBCl2 structure, with properties calculated at the PBE level.

## Properties
Uncorrected formation energy, eV/atom: -0.12
DOS at the Fermi energy, states/eV per cell: 12.76
Raw total energy, eV per atom: -4.330
Theoretical density, Mg/m³: 3.731
Total magnetic moment, μB/atom: 0.3343

Cell: 6.722 6.722 6.722 Å, 90.00 90.00 90.00°
Atoms (fractional coordinates):
Y 0.000 0.000 0.000
Y 0.000 0.500 0.500
Y 0.500 0.000 0.500
Y 0.500 0.500 0.000
B 0.000 0.000 0.500
B 0.000 0.500 0.000
B 0.500 0.000 0.000
B 0.500 0.500 0.500
Cl 0.250 0.250 0.250
Cl 0.250 0.250 0.750
Cl 0.250 0.750 0.250
Cl 0.250 0.750 0.750
Cl 0.750 0.250 0.250
Cl 0.750 0.250 0.750
Cl 0.750 0.750 0.250
Cl 0.750 0.750 0.750

***

# 6
Below is a geometry-optimized Nd3Ga9Ir2 structure, with properties calculated at the PBE level.

## Properties
Formation energy from the elements, meV/atom: -609.7
DOS at the Fermi energy, states/eV per cell: 3.96
Raw total energy, eV per atom: -4.843
Theoretical density, Mg/m³: 9.052
Total magnetic moment, μB/atom: 0.0000

Cell: 8.269 8.269 8.269 Å, 149.69 108.80 79.31°
Atoms (fractional coordinates):
Nd 0.000 0.000 0.000
Nd 0.299 0.299 0.000
Nd 0.701 0.701 0.000
Ga 0.018 0.656 0.362
Ga 0.150 0.868 0.281
Ga 0.294 0.656 0.638
Ga 0.413 0.132 0.281
Ga 0.500 0.000 0.500
Ga 0.587 0.868 0.719
Ga 0.706 0.344 0.362
Ga 0.850 0.132 0.719
Ga 0.982 0.344 0.638
Ir 0.316 0.500 0.816
Ir 0.684 0.500 0.184

***

# 7
Below is a geometry-optimized HfTaFeRh structure, with properties calculated at the PBE level.

## Properties
Formation energy from the elements, meV/atom: -369.8
DOS at the Fermi energy, states/eV per cell: 12.33
Raw total energy, eV per atom: -9.775
Theoretical density, Mg/m³: 13.412
Total magnetic moment, μB/atom: 0.3026

Cell: 6.355 6.355 6.355 Å, 90.00 90.00 90.00°
Atoms (fractional coordinates):
Hf 0.000 0.000 0.000
Hf 0.000 0.500 0.500
Hf 0.500 0.000 0.500
Hf 0.500 0.500 0.000
Ta 0.000 0.000 0.500
Ta 0.000 0.500 0.000
Ta 0.500 0.000 0.000
Ta 0.500 0.500 0.500
Fe 0.250 0.250 0.750
Fe 0.250 0.750 0.250
Fe 0.750 0.250 0.250
Fe 0.750 0.750 0.750
Rh 0.250 0.250 0.250
Rh 0.250 0.750 0.750
Rh 0.750 0.250 0.750
Rh 0.750 0.750 0.250

***

# 8
Below is a geometry-optimized CePrErPb structure, with properties calculated at the PBE level.

## Properties
Formation energy from the elements, meV/atom: -61.2
DOS at the Fermi energy, states/eV per cell: 32.39
Raw total energy, eV per atom: -4.807
Theoretical density, Mg/m³: 9.192
Total magnetic moment, μB/atom: 0.1237

Cell: 7.795 7.795 7.795 Å, 90.00 90.00 90.00°
Atoms (fractional coordinates):
Ce 0.000 0.000 0.000
Ce 0.000 0.500 0.500
Ce 0.500 0.000 0.500
Ce 0.500 0.500 0.000
Pr 0.250 0.250 0.750
Pr 0.250 0.750 0.250
Pr 0.750 0.250 0.250
Pr 0.750 0.750 0.750
Er 0.250 0.250 0.250
Er 0.250 0.750 0.750
Er 0.750 0.250 0.750
Er 0.750 0.750 0.250
Pb 0.000 0.000 0.500
Pb 0.000 0.500 0.000
Pb 0.500 0.000 0.000
Pb 0.500 0.500 0.500